A plane-wave DFT calculation with PBE+U was carried out for a relaxed structure of Ba3CaFe2O6.

The density comes out at 4.61 Mg/m³. The uncorrected energy comes out at -6.177 eV/atom. Its space group is P-3m1 (164).

a = 6.265 Å, b = 6.265 Å, c = 6.984 Å
α = 90.00°, β = 90.00°, γ = 120.00°
Fractional coordinates of all 12 atoms:
Ba 0.000 0.000 0.000
Ba 0.333 0.667 0.665
Ba 0.667 0.333 0.335
Ca 0.000 0.000 0.500
Fe 0.333 0.667 0.225
Fe 0.667 0.333 0.775
O 0.166 0.333 0.289
O 0.166 0.834 0.289
O 0.333 0.166 0.711
O 0.667 0.834 0.289
O 0.834 0.166 0.711
O 0.834 0.667 0.711